No. 1
The following is a PBE calculation of a relaxed structure of ScPaHgAu, from Alexandria via LeMat-Bulk.

a = 7.1802 Å, b = 7.1802 Å, c = 7.1802 Å
α = 90.00°, β = 90.00°, γ = 90.00°
With the nearest neighbours (Å) after each atom.
Space group F-43m (No. 216)
Symmetry-distinct sites (fractional):
Sc: 0.0000 0.0000 0.0000 x4  4 Hg 3.11, 4 Au 3.11
Pa: 0.0000 0.0000 0.5000 x4  4 Hg 3.11, 4 Au 3.11
Hg: 0.2500 0.2500 0.7500 x4  4 Pa 3.11, 4 Sc 3.11
Au: 0.2500 0.2500 0.2500 x4  4 Pa 3.11, 4 Sc 3.11

Values from the calculation:
Total moment = 1.52 μB/f.u.
Calculated formation energy = -0.205 eV/atom
Uncorrected energy = -20.23 eV per formula unit
Density = 12.1 g cm⁻³

No. 2
The following is a PBE calculation of a relaxed structure of Ba2AcUSe6, from Alexandria via LeMat-Bulk.

a = 7.6178 Å, b = 8.1160 Å, c = 13.3759 Å
α = 90.00°, β = 124.15°, γ = 90.00°
With the nearest neighbours (Å) after each atom.
Space group P2_1/c (No. 14)
Symmetry-distinct sites (fractional):
Ba: 0.2233 0.0772 0.2496 x4  6 Se 3.31-3.54
Ac: 0.5000 0.0000 0.0000 x2  6 Se 3.05-3.07
U: 0.0000 0.0000 0.5000 x2  6 Se 2.75-2.78
Se: 0.1175 0.2113 0.9398 x4  1 U 2.78, 1 Ac 3.07
Se: 0.2372 0.6845 0.9447 x4  1 U 2.75, 1 Ac 3.07
Se: 0.3446 0.0337 0.7350 x4  1 U 2.75, 1 Ac 3.05

Values from the calculation:
E_form (uncorrected) = -1.718 eV/atom
Total moment = 1.00 μB/f.u.
Uncorrected energy = -57.33 eV per formula unit
Density = 5.9 g cm⁻³

No. 3
The following is a PBE calculation of a relaxed structure of NiSn2Hg, from Alexandria via LeMat-Bulk.

a = 3.1675 Å, b = 3.1675 Å, c = 9.0404 Å
α = 90.00°, β = 90.00°, γ = 90.00°
With the nearest neighbours (Å) after each atom.
Space group P4/mmm (No. 123)
Symmetry-distinct sites (fractional):
Ni: 0.0000 0.0000 0.0000 x1  8 Sn 2.78
Sn: 0.5000 0.5000 0.1827 x2  4 Ni 2.78
Hg: 0.0000 0.0000 0.5000 x1  4 Hg 3.17

Values from the calculation:
Total moment = 0.00 μB/f.u.
Calculated formation energy = -0.005 eV/atom
Uncorrected energy = -14.11 eV per formula unit
Density = 9.1 g cm⁻³

No. 4
The following is a PBE calculation of a relaxed structure of PrDySeO2, from Alexandria via LeMat-Bulk.

a = 6.6652 Å, b = 4.1084 Å, c = 7.7926 Å
α = 90.00°, β = 108.19°, γ = 90.00°
With the nearest neighbours (Å) after each atom.
Space group P2_1/m (No. 11)
Symmetry-distinct sites (fractional):
Pr: 0.1910 0.2500 0.4285 x2  4 O 2.34-2.42
Dy: 0.1712 0.2500 0.9201 x2  4 O 2.22-2.28
Se: 0.4528 0.7500 0.7478 x2  3 Dy 2.99-3.33, 3 Pr 3.09-3.28
O: 0.0155 0.7500 0.3702 x2  1 Dy 2.22, 3 Pr 2.34-2.39
O: 0.0160 0.7500 0.8881 x2  3 Dy 2.23-2.28, 1 Pr 2.42

Values from the calculation:
E_form (uncorrected) = -3.037 eV/atom
Total moment = 0.00 μB/f.u.
Uncorrected energy = -37.97 eV per formula unit
Density = 6.8 g cm⁻³

No. 5
The following is a PBE calculation of a relaxed structure of Li2HoIn3, from Alexandria via LeMat-Bulk.

a = 4.8720 Å, b = 4.8720 Å, c = 13.1290 Å
α = 90.00°, β = 90.00°, γ = 120.00°
With the nearest neighbours (Å) after each atom.
Space group P6_3/mmc (No. 194)
Symmetry-distinct sites (fractional):
Li: 0.3333 0.6667 0.0997 x4  7 In 2.85-3.10
Ho: 0.0000 0.0000 0.2500 x2  8 In 3.20-3.28, 6 Li 3.44
In: 0.0000 0.0000 0.0000 x2  6 Li 3.10, 2 Ho 3.28, 6 In 3.31
In: 0.3333 0.6667 0.6332 x4  4 Li 2.85-3.06, 1 In 3.07

Values from the calculation:
Total moment = 0.00 μB/f.u.
Calculated formation energy = -0.304 eV/atom
Uncorrected energy = -18.44 eV per formula unit
Density = 6.4 g cm⁻³

No. 6
The following is a PBE calculation of a relaxed structure of RbTl2Zn2, from Alexandria via LeMat-Bulk.

a = 4.9528 Å, b = 4.9528 Å, c = 11.9678 Å
α = 90.00°, β = 90.00°, γ = 90.00°
With the nearest neighbours (Å) after each atom.
Space group I4/mmm (No. 139)
Symmetry-distinct sites (fractional):
Rb: 0.0000 0.0000 0.0000 x2  8 Zn 3.74, 8 Tl 3.88
Tl: 0.0000 0.5000 0.2500 x4  4 Zn 3.00
Zn: 0.0000 0.0000 0.3911 x4  1 Zn 2.61

Values from the calculation:
Total moment = 0.00 μB/f.u.
Calculated formation energy = 0.038 eV/atom
Uncorrected energy = -8.06 eV per formula unit
Density = 7.1 g cm⁻³

No. 7
The following is a PBE calculation of a relaxed structure of ZrScW, from Alexandria via LeMat-Bulk.

a = 3.4373 Å, b = 3.4373 Å, c = 10.5712 Å
α = 90.00°, β = 90.00°, γ = 90.00°
With the nearest neighbours (Å) after each atom.
Space group I4mm (No. 107)
Symmetry-distinct sites (fractional):
Zr: 0.0000 0.0000 0.0000 x2  4 W 2.80, 1 Sc 3.07
Sc: 0.0000 0.0000 0.2901 x2  4 W 2.95, 5 Zr 3.07-3.29
W: 0.0000 0.0000 0.6321 x2  4 Zr 2.80, 4 Sc 2.95

Values from the calculation:
Total moment = 0.00 μB/f.u.
Calculated formation energy = 0.204 eV/atom
Uncorrected energy = -27.22 eV per formula unit
Density = 8.5 g cm⁻³

No. 8
The following is a PBE calculation of a relaxed structure of HoPd3Au6, from Alexandria via LeMat-Bulk.

a = 7.8571 Å, b = 17.5978 Å, c = 5.3506 Å
α = 90.00°, β = 90.00°, γ = 90.00°
With the nearest neighbours (Å) after each atom.
Space group Cmc2_1 (No. 36)
Symmetry-distinct sites (fractional):
Ho: 0.0000 0.1538 0.0000 x4  6 Au 2.90-3.14, 4 Pd 3.07-3.09
Pd: 0.0000 0.3964 0.2084 x4  7 Au 2.73-2.91, 2 Pd 2.77
Pd: 0.1788 0.1197 0.5022 x8  7 Au 2.76-3.02, 2 Pd 2.77-2.81, 2 Ho 3.07-3.09
Au: 0.0000 0.0036 0.7766 x4  4 Au 2.68-2.79, 4 Pd 2.85-2.88, 1 Ho 2.90
Au: 0.0000 0.3264 0.7468 x4  3 Pd 2.76-3.02, 6 Au 2.90-2.97
Au: 0.1821 0.4648 0.5807 x8  4 Pd 2.73-2.97, 6 Au 2.79-3.03
Au: 0.1895 0.2672 0.3254 x8  3 Pd 2.76-2.83, 5 Au 2.90-2.98, 2 Ho 2.96-3.04

Values from the calculation:
Total moment = 0.00 μB/f.u.
Calculated formation energy = -0.282 eV/atom
Uncorrected energy = -42.64 eV per formula unit
Density = 15.0 g cm⁻³